Record 1
Here is a relaxed structure of Ag2H2OF2 from Alexandria via LeMat-Bulk. Energies are from PBE.

The total DFT energy (no corrections) comes out at -26.6 eV for the cell shown. The crystal system is monoclinic. The calculation puts the magnetization at 0.00 μB per formula unit. The calculated volume is 11.0 A^3/atom.

Cell lengths 3.0182, 4.8919, 5.6951 Å; angles 81.52, 74.63, 72.03 degrees
Closest atoms and distances in Å follow each position.
Atoms (fractional coordinates):
Ag 0.5687 0.2186 0.6440  5 F 2.57-2.66, 2 O 2.62, 4 H 2.72-2.87
Ag 0.4313 0.7814 0.3560  5 F 2.57-2.66, 2 O 2.62, 4 H 2.72-2.87
H 0.1326 0.8253 0.9096  1 O 0.98
H 0.8674 0.1747 0.0904  1 O 0.98
O 0.0000 0.0000 0.0000  2 H 0.98
F 0.1871 0.3527 0.2730  2 H 2.02
F 0.8129 0.6473 0.7270  2 H 2.02

=====

Record 2
Here is a relaxed structure of PrSn8Ru4 from Alexandria via LeMat-Bulk. Energies are from PBE.

The crystal system is tetragonal. The calculation puts the magnetization at 0.00 μB per formula unit. The calculated volume is 20.7 A^3/atom. The calculation puts the formation energy at -108.4 kJ/mol of formula units. Its density of states at the Fermi level is 7.08 states/eV/f.u.

Cell lengths 5.9995, 7.3398, 7.3398 Å; angles 80.38, 65.88, 65.88 degrees
Closest atoms and distances in Å follow each position.
Atoms (fractional coordinates):
Pr 0.0000 0.0000 0.0000  4 Sn 3.17
Sn 0.0000 0.3346 0.6654  4 Ru 2.92, 5 Sn 3.09-3.20, 1 Pr 3.17
Sn 0.0000 0.6654 0.3346  4 Ru 2.92, 5 Sn 3.09-3.20, 1 Pr 3.17
Sn 0.3346 0.6654 0.6654  4 Ru 2.92, 5 Sn 3.09-3.20, 1 Pr 3.17
Sn 0.6654 0.3346 0.3346  4 Ru 2.92, 5 Sn 3.09-3.20, 1 Pr 3.17
Sn 0.5000 0.7816 0.2184  4 Ru 2.82, 4 Sn 2.93-3.09
Sn 0.5000 0.2184 0.7816  4 Ru 2.82, 4 Sn 2.93-3.09
Sn 0.2816 0.2184 0.2184  4 Ru 2.82, 4 Sn 2.93-3.09
Sn 0.7184 0.7816 0.7816  4 Ru 2.82, 4 Sn 2.93-3.09
Ru 0.0000 0.0000 0.5000  8 Sn 2.82-2.92, 2 Ru 3.00
Ru 0.5000 0.0000 0.5000  8 Sn 2.82-2.92, 2 Ru 3.00
Ru 0.0000 0.5000 0.0000  8 Sn 2.82-2.92, 2 Ru 3.00
Ru 0.5000 0.5000 0.0000  8 Sn 2.82-2.92, 2 Ru 3.00

=====

Record 3
Here is a relaxed structure of TaTl2Zn from Alexandria via LeMat-Bulk. Energies are from PBE.

For the energy above the most stable polymorph in this dataset, the calculation gives 92 kJ/mol of formula units. The crystal system is monoclinic. The calculation puts the magnetization at 0.00 μB per formula unit. The calculated volume is 21.1 A^3/atom. The calculation puts the formation energy at 227.9 kJ/mol of formula units. Its density of states at the Fermi level is 1.95 states/eV/f.u.

Cell lengths 5.4008, 5.4008, 5.3088 Å; angles 76.34, 76.34, 34.30 degrees
Closest atoms and distances in Å follow each position.
Atoms (fractional coordinates):
Ta 0.7500 0.7500 0.7500  6 Tl 3.08-3.13, 4 Zn 3.10, 2 Ta 3.18
Tl 0.9953 0.9953 0.9989  3 Zn 3.01-3.23, 6 Tl 3.07-3.18, 3 Ta 3.08-3.13
Tl 0.5047 0.5047 0.5011  3 Zn 3.01-3.23, 6 Tl 3.07-3.18, 3 Ta 3.08-3.13
Zn 0.2500 0.2500 0.2500  6 Tl 3.01-3.23, 4 Ta 3.10, 2 Zn 3.18

=====

Record 4
Here is a relaxed structure of SrCuSe2 from Alexandria via LeMat-Bulk. Energies are from PBE.

The calculation puts the formation energy from raw total energies at -0.513 eV per atom. The crystal system is tetragonal. The calculation puts the magnetization at 0.00 μB per formula unit. The calculated volume is 22.7 A^3/atom. Its density of states at the Fermi level is 1.98 states/eV/f.u.

Cell lengths 3.6422, 3.6422, 6.8311 Å; angles 90.00, 90.00, 90.00 degrees
Closest atoms and distances in Å follow each position.
Atoms (fractional coordinates):
Cu 0.5000 0.5000 0.7500  8 Se 3.00
Se 0.0000 0.0000 0.9749  4 Cu 3.00, 1 Se 3.07, 4 Sr 3.19
Se 0.0000 0.0000 0.5251  4 Cu 3.00, 1 Se 3.07, 4 Sr 3.19
Sr 0.5000 0.5000 0.2500  8 Se 3.19, 2 Cu 3.42

=====

Record 5
Here is a relaxed structure of MgReSb2 from Alexandria via LeMat-Bulk. Energies are from PBE.

The calculation puts the formation energy from raw total energies at 0.272 eV per atom. The crystal system is orthorhombic. The calculation puts the magnetization at 0.00 μB per formula unit. The calculated volume is 22.5 A^3/atom. Its density of states at the Fermi level is 2.29 states/eV/f.u.

Cell lengths 7.2597, 7.2597, 7.2597 Å; angles 154.04, 147.41, 42.13 degrees
Closest atoms and distances in Å follow each position.
Atoms (fractional coordinates):
Mg 0.4386 0.4386 0.0000  6 Sb 2.94-3.08, 2 Mg 3.26
Re 0.2189 0.7189 0.5000  6 Sb 2.70-2.75
Sb 0.0598 0.0598 0.0000  2 Re 2.70
Sb 0.7827 0.2827 0.5000  4 Re 2.75, 2 Mg 2.94

=====

Record 6
Here is a relaxed structure of PmScAl4 from Alexandria via LeMat-Bulk. Energies are from PBE.

The crystal system is cubic. The calculation puts the magnetization at 0.00 μB per formula unit. The calculated volume is 19.9 A^3/atom. The calculation puts the formation energy at -272.9 kJ/mol of formula units. Its density of states at the Fermi level is 5.37 states/eV/f.u.

Cell lengths 5.5230, 5.5230, 5.5230 Å; angles 60.00, 60.00, 60.00 degrees
Closest atoms and distances in Å follow each position.
Atoms (fractional coordinates):
Sc 0.0000 0.0000 0.0000  12 Al 3.24, 4 Pm 3.38
Al 0.6252 0.6252 0.1244  6 Al 2.76-2.77
Al 0.6252 0.1244 0.6252  6 Al 2.76-2.77
Al 0.6252 0.6252 0.6252  6 Al 2.76-2.77
Al 0.1244 0.6252 0.6252  6 Al 2.76-2.77
Pm 0.2500 0.2500 0.2500  12 Al 3.24, 4 Sc 3.38